No. 1
Density functional theory data (GGA-PBE) for crystalline Ba3Sr4Li2 at its relaxed geometry.

a = 9.711 Å, b = 9.711 Å, c = 11.555 Å
α = 116.30°, β = 116.30°, γ = 28.72°
Positions (direct):
Ba  0.000  0.000  0.000
Ba  0.375  0.375  0.634
Ba  0.625  0.625  0.366
Sr  0.100  0.100  0.676
Sr  0.334  0.334  0.006
Sr  0.666  0.666  0.994
Sr  0.900  0.900  0.324
Li  0.238  0.238  0.247
Li  0.762  0.762  0.753

Values from the calculation:
- Spin magnetization: 0.00 μB per cell
- Fermi-level density of states: 10.05 states/eV per cell
- E_form: 1.27 kcal/mol of atoms

=====

No. 2
Density functional theory data (GGA-PBE) for crystalline YMgCl2 at its relaxed geometry.

a = 5.037 Å, b = 5.037 Å, c = 5.037 Å
α = 60.00°, β = 60.00°, γ = 60.00°
Positions (direct):
Y  0.000  0.000  0.000
Mg  0.500  0.500  0.500
Cl  0.250  0.250  0.250
Cl  0.750  0.750  0.750

Values from the calculation:
- Spin magnetization: 0.95 μB per cell
- Fermi-level density of states: 2.90 states/eV per cell
- E above lowest polymorph: 429 meV/atom
- E_form (uncorrected): -319.1 kJ/mol of formula units

=====

Question: The highest spin magnetization belongs to which entry?
Answer: YMgCl2

=====

Question: Number 1 is which compound?
Answer: Ba3Sr4Li2

=====

Question: Among the records above, which one has the highest spin magnetization?
Answer: YMgCl2

=====

Question: What is the Fermi-level density of states in the first record?
Answer: 10.05 states/eV per cell